Compound: HoPuPt6
Source: Alexandria via LeMat-Bulk
Functional: PBE
Structure: relaxed

abc: 4.1274 4.1274 8.2754
angles: 90.00 90.00 90.00
Site moments in Bohr magnetons follow the coordinates.
Element x y z (fractional)
Pt1 0.5000 0.0000 0.7504  -0.07
Pt2 0.5000 0.5000 0.5000  -0.10
Pt3 0.5000 0.5000 0.0000  -0.05
Pt4 0.0000 0.5000 0.7504  -0.07
Pt5 0.0000 0.5000 0.2496  -0.07
Pt6 0.5000 0.0000 0.2496  -0.07
Ho1 0.0000 0.0000 0.0000  0.00
Pu1 0.0000 0.0000 0.5000  4.54

Computed properties:
Its calculated formation energy is -0.879 eV/atom.

Compound: HoPu5Pt5
Source: Alexandria via LeMat-Bulk
Functional: PBE
Structure: relaxed

abc: 5.4230 7.4092 8.9926
angles: 121.22 90.00 111.47
Site moments in Bohr magnetons follow the coordinates.
Element x y z (fractional)
Pu1 0.7303 0.4606 0.3219  -5.18
Pu2 0.5996 0.1991 0.8010  -4.99
Pu3 0.2697 0.5394 0.6781  -5.18
Pu4 0.4004 0.8009 0.1990  -4.99
Pu5 0.0000 0.0000 0.5000  5.06
Ho1 0.0000 0.0000 0.0000  -0.11
Pt1 0.8381 0.6761 0.1091  0.06
Pt2 0.1619 0.3239 0.8909  0.06
Pt3 0.6352 0.2705 0.5259  0.10
Pt4 0.5000 0.0000 0.0000  0.07
Pt5 0.3648 0.7295 0.4741  0.10

Computed properties:
Its calculated formation energy is -0.560 eV/atom.

Compound: HoPu2Pt3
Source: Alexandria via LeMat-Bulk
Functional: PBE
Structure: relaxed

abc: 5.7357 8.1779 7.0428
angles: 106.89 114.03 90.00
Site moments in Bohr magnetons follow the coordinates.
Element x y z (fractional)
Pu1 0.3355 0.9177 0.6707  5.06
Pu2 0.3352 0.4177 0.6707  5.06
Pu3 0.6648 0.5823 0.3293  5.06
Pu4 0.6645 0.0823 0.3293  5.06
Pt1 0.5002 0.2500 0.0000  -0.08
Pt2 0.8314 0.4157 0.6632  -0.08
Pt3 0.8318 0.9157 0.6632  -0.08
Pt4 0.1682 0.0843 0.3368  -0.08
Pt5 0.4998 0.7500 0.0000  -0.08
Pt6 0.1686 0.5843 0.3368  -0.08
Ho1 0.9998 0.7500 0.0000  0.04
Ho2 0.0002 0.2500 0.0000  0.04

Computed properties:
Its calculated formation energy is -0.854 eV/atom.

Compound: Ho2PuPt
Source: Alexandria via LeMat-Bulk
Functional: PBE
Structure: relaxed

abc: 3.5046 3.5046 8.3328
angles: 90.00 90.00 90.00
Site moments in Bohr magnetons follow the coordinates.
Element x y z (fractional)
Pt1 0.5000 0.5000 0.0000  0.01
Pu1 0.5000 0.5000 0.5000  5.69
Ho1 0.0000 0.0000 0.8010  0.26
Ho2 0.0000 0.0000 0.1990  0.26

Computed properties:
The calculation puts the energy above the most stable polymorph in this dataset at 0 meV/atom. Its calculated formation energy is -0.535 eV/atom.

Compound: Ho2PuPt
Source: Alexandria via LeMat-Bulk
Functional: PBE
Structure: relaxed

abc: 3.7425 3.7425 9.6025
angles: 78.76 78.76 60.00
Site moments in Bohr magnetons follow the coordinates.
Element x y z (fractional)
Pt1 0.0000 0.0000 0.0000  0.04
Ho1 0.2698 0.2698 0.1907  0.22
Ho2 0.7302 0.7302 0.8093  0.22
Pu1 0.5000 0.5000 0.5000  5.80

Computed properties:
The calculation puts the energy above the most stable polymorph in this dataset at 142 meV/atom. Its calculated formation energy is -0.392 eV/atom.

Compound: HoPuPtRh
Source: Alexandria via LeMat-Bulk
Functional: PBE
Structure: relaxed

abc: 4.8909 4.8909 4.8909
angles: 60.00 60.00 60.00
Site moments in Bohr magnetons follow the coordinates.
Element x y z (fractional)
Rh1 0.7500 0.7500 0.7500  -0.16
Ho1 0.5000 0.5000 0.5000  0.15
Pt1 0.2500 0.2500 0.2500  -0.04
Pu1 0.0000 0.0000 0.0000  5.13

Computed properties:
The calculation puts the energy above the most stable polymorph in this dataset at 69 meV/atom. Its calculated formation energy is -0.791 eV/atom.

Compound: HoPuPtRh
Source: Alexandria via LeMat-Bulk
Functional: PBE
Structure: relaxed

abc: 3.7700 4.2059 5.7711
angles: 90.00 109.06 90.00
Site moments in Bohr magnetons follow the coordinates.
Element x y z (fractional)
Rh1 0.4055 0.0000 0.8110  -0.26
Pt1 0.5884 0.5000 0.1767  -0.01
Ho1 0.1426 0.0000 0.2853  0.10
Pu1 0.8635 0.5000 0.7270  5.04

Computed properties:
The calculation puts the energy above the most stable polymorph in this dataset at 0 meV/atom. Its calculated formation energy is -0.860 eV/atom.

Compound: HoPu2Si3Pt4
Source: Alexandria via LeMat-Bulk
Functional: PBE
Structure: relaxed

abc: 4.1747 4.1747 11.0755
angles: 90.00 90.00 90.00
Site moments in Bohr magnetons follow the coordinates.
Element x y z (fractional)
Pt1 0.0000 0.5000 0.3370  -0.03
Pt2 0.0000 0.0000 0.0000  0.06
Pt3 0.5000 0.0000 0.6630  -0.03
Pt4 0.5000 0.5000 0.0000  0.05
Si1 0.5000 0.0000 0.8786  -0.01
Si2 0.0000 0.0000 0.5000  -0.03
Si3 0.0000 0.5000 0.1214  -0.01
Pu1 0.0000 0.5000 0.7679  5.25
Pu2 0.5000 0.0000 0.2321  5.25
Ho1 0.5000 0.5000 0.5000  0.09

Computed properties:
Its formation energy (no corrections) is -868 meV/atom.

Compound: HoPu2Si2Pt7
Source: Alexandria via LeMat-Bulk
Functional: PBE
Structure: relaxed

abc: 4.0532 4.0532 13.8533
angles: 84.29 84.29 89.40
Site moments in Bohr magnetons follow the coordinates.
Element x y z (fractional)
Ho1 0.0000 0.0000 0.0000  0.01
Pu1 0.1065 0.1065 0.6385  5.17
Pu2 0.8935 0.8935 0.3615  5.17
Pt1 0.6217 0.6217 0.5756  -0.09
Pt2 0.0538 0.5531 0.8414  0.04
Pt3 0.5531 0.0538 0.8414  0.04
Pt4 0.9462 0.4469 0.1586  0.04
Pt5 0.3783 0.3783 0.4244  -0.09
Pt6 0.4469 0.9462 0.1586  0.04
Pt7 0.5000 0.5000 0.0000  0.03
Si1 0.5859 0.5859 0.7472  -0.01
Si2 0.4141 0.4141 0.2528  -0.01

Computed properties:
Its formation energy (no corrections) is -961 meV/atom.

Compound: HoPuSnPt
Source: Alexandria via LeMat-Bulk
Functional: PBE
Structure: relaxed

abc: 5.1549 5.1549 5.1549
angles: 60.00 60.00 60.00
Site moments in Bohr magnetons follow the coordinates.
Element x y z (fractional)
Pu1 0.0000 0.0000 0.0000  5.25
Ho1 0.5000 0.5000 0.5000  0.03
Sn1 0.7500 0.7500 0.7500  -0.09
Pt1 0.2500 0.2500 0.2500  -0.12

Computed properties:
Its calculated formation energy is -0.612 eV/atom.

Compound: Ho8Pt5Rh
Source: Alexandria via LeMat-Bulk
Functional: PBE
Structure: relaxed

abc: 7.5033 7.5033 7.5033
angles: 109.59 109.23 109.59
Element x y z (fractional)
Pt1 0.8713 0.8739 0.2475
Pt2 0.0026 0.3762 0.1287
Pt3 0.5000 0.0000 0.5000
Pt4 0.3736 0.1261 0.9974
Pt5 0.7525 0.6238 0.6264
Ho1 0.9983 0.1295 0.7474
Ho2 0.4958 0.6194 0.2472
Ho3 0.7528 0.2486 0.3722
Ho4 0.1312 0.7491 0.0017
Ho5 0.1236 0.7514 0.5042
Ho6 0.6278 0.3806 0.8764
Ho7 0.6180 0.8705 0.8688
Ho8 0.2526 0.2509 0.3820
Rh1 0.2500 0.5000 0.7500

Computed properties:
Its calculated formation energy is -1.077 eV/atom.

Compound: HoPtRh
Source: Alexandria via LeMat-Bulk
Functional: PBE
Structure: relaxed

abc: 3.6746 4.3489 4.3489
angles: 120.00 90.00 90.00
Element x y z (fractional)
Ho1 0.6668 0.6667 0.3333
Pt1 0.1667 0.0000 0.0000
Rh1 0.1665 0.3333 0.6667

Computed properties:
The calculation puts the energy above the most stable polymorph in this dataset at 0 meV/atom. Its calculated formation energy is -0.831 eV/atom.

Compound: Ho8PtRh2
Source: Alexandria via LeMat-Bulk
Functional: PBE
Structure: relaxed

abc: 5.9497 7.5176 7.5176
angles: 113.11 100.28 100.28
Element x y z (fractional)
Ho1 0.9870 0.7859 0.2165
Ho2 0.3814 0.9247 0.6640
Ho3 0.9870 0.2165 0.7859
Ho4 0.1671 0.3631 0.3631
Ho5 0.3814 0.6640 0.9247
Ho6 0.5811 0.0834 0.3441
Ho7 0.5811 0.3441 0.0834
Ho8 0.8046 0.6405 0.6405
Rh1 0.4872 0.3161 0.6943
Rh2 0.4872 0.6943 0.3161
Pt1 0.1545 0.0012 0.0012

Computed properties:
Its calculated formation energy is -0.521 eV/atom.

Compound: Ho6PtRh5
Source: Alexandria via LeMat-Bulk
Functional: PBE
Structure: relaxed

abc: 4.8040 6.9363 7.6083
angles: 90.00 71.44 90.00
Element x y z (fractional)
Ho1 0.8327 0.2506 0.3350
Ho2 0.5000 0.7484 0.0000
Ho3 0.8327 0.7494 0.3350
Ho4 0.5000 0.2516 0.0000
Ho5 0.1673 0.2506 0.6650
Ho6 0.1673 0.7494 0.6650
Rh1 0.3320 0.0000 0.3367
Rh2 0.3343 0.5000 0.3319
Rh3 0.6680 0.0000 0.6633
Rh4 0.6657 0.5000 0.6681
Rh5 0.0000 0.5000 0.0000
Pt1 0.0000 0.0000 0.0000

Computed properties:
Its calculated formation energy is -0.963 eV/atom.

Compound: Ho6Pt5Rh
Source: Alexandria via LeMat-Bulk
Functional: PBE
Structure: relaxed

abc: 4.8957 8.4976 8.4976
angles: 120.02 106.74 106.74
Element x y z (fractional)
Pt1 0.5000 0.8374 0.1626
Pt2 0.0000 0.6690 0.3310
Pt3 0.0000 0.3310 0.6690
Pt4 0.5000 0.5000 0.5000
Pt5 0.5000 0.1626 0.8374
Ho1 0.2494 0.4153 0.0835
Ho2 0.7493 0.2493 0.2493
Ho3 0.7506 0.9165 0.5847
Ho4 0.2494 0.0835 0.4153
Ho5 0.7506 0.5847 0.9165
Ho6 0.2507 0.7507 0.7507
Rh1 0.0000 0.0000 0.0000

Computed properties:
Its calculated formation energy is -1.191 eV/atom.

Compound: Ho4PtRh3
Source: Alexandria via LeMat-Bulk
Functional: PBE
Structure: relaxed

abc: 4.8182 6.9340 9.6360
angles: 90.00 90.00 90.00
Element x y z (fractional)
Rh1 0.5006 0.5000 0.7500
Rh2 0.4996 0.0000 0.2500
Rh3 0.0000 0.0000 0.5000
Rh4 0.4994 0.5000 0.2500
Rh5 0.0000 0.0000 0.0000
Rh6 0.5004 0.0000 0.7500
Ho1 0.5000 0.7512 0.5000
Ho2 0.5000 0.2488 0.0000
Ho3 0.0002 0.2488 0.7500
Ho4 0.9998 0.7512 0.2500
Ho5 0.5000 0.7512 0.0000
Ho6 0.5000 0.2488 0.5000
Ho7 0.0002 0.7512 0.7500
Ho8 0.9998 0.2488 0.2500
Pt1 0.0000 0.5000 0.5000
Pt2 0.0000 0.5000 0.0000

Computed properties:
Its calculated formation energy is -0.992 eV/atom.

Compound: Ho4Pt5Rh
Source: Alexandria via LeMat-Bulk
Functional: PBE
Structure: relaxed

abc: 4.4219 5.6082 8.5901
angles: 99.92 104.92 90.00
Element x y z (fractional)
Pt1 0.2680 0.1640 0.5360
Pt2 0.0586 0.2643 0.1171
Pt3 0.5000 0.5000 0.0000
Pt4 0.9414 0.7357 0.8829
Pt5 0.7320 0.8360 0.4640
Ho1 0.1110 0.7900 0.2219
Ho2 0.8890 0.2100 0.7781
Ho3 0.3310 0.6818 0.6620
Ho4 0.6690 0.3182 0.3380
Rh1 0.5000 0.0000 0.0000

Computed properties:
Its calculated formation energy is -1.164 eV/atom.

Compound: Ho2PtRh
Source: Alexandria via LeMat-Bulk
Functional: PBE
Structure: relaxed

abc: 3.4383 3.4383 6.9003
angles: 90.00 90.00 90.00
Element x y z (fractional)
Pt1 0.5000 0.5000 0.0000
Rh1 0.5000 0.5000 0.5000
Ho1 0.0000 0.0000 0.2557
Ho2 0.0000 0.0000 0.7443

Computed properties:
Its calculated formation energy is -1.085 eV/atom.

Compound: Ho8Pt2Rh3
Source: Alexandria via LeMat-Bulk
Functional: PBE
Structure: relaxed

abc: 4.8085 9.6906 8.3693
angles: 125.42 90.00 90.00
Element x y z (fractional)
Rh1 0.5000 0.0000 0.0000
Rh2 0.0000 0.7514 0.0002
Rh3 0.0000 0.2486 0.9998
Ho1 0.0000 0.1245 0.2484
Ho2 0.5000 0.3724 0.2462
Ho3 0.5000 0.6276 0.7538
Ho4 0.0000 0.8755 0.7516
Ho5 0.5000 0.1256 0.7536
Ho6 0.0000 0.6229 0.2455
Ho7 0.0000 0.3771 0.7545
Ho8 0.5000 0.8744 0.2464
Pt1 0.5000 0.7483 0.4969
Pt2 0.5000 0.2517 0.5031

Computed properties:
Its calculated formation energy is -0.839 eV/atom.

Compound: Ho7Pt2Rh2
Source: Alexandria via LeMat-Bulk
Functional: PBE
Structure: relaxed

abc: 6.6020 6.8527 6.6020
angles: 90.00 102.40 90.00
Element x y z (fractional)
Rh1 0.7211 0.0000 0.2789
Rh2 0.2789 0.0000 0.7211
Ho1 0.5000 0.2605 0.0000
Ho2 0.0000 0.7395 0.5000
Ho3 0.0000 0.2605 0.5000
Ho4 0.5000 0.2551 0.5000
Ho5 0.5000 0.7449 0.5000
Ho6 0.0000 0.0000 0.0000
Ho7 0.5000 0.7395 0.0000
Pt1 0.2249 0.5000 0.2249
Pt2 0.7751 0.5000 0.7751

Computed properties:
The calculation puts the energy above the most stable polymorph in this dataset at 192 meV/atom. Its calculated formation energy is -0.661 eV/atom.

Compound: Ho6PtRh2
Source: Alexandria via LeMat-Bulk
Functional: PBE
Structure: relaxed

abc: 8.2673 8.2673 8.2673
angles: 105.98 111.80 110.69
Element x y z (fractional)
Rh1 0.3339 0.0000 0.3339
Rh2 0.5000 0.3683 0.8683
Rh3 0.5000 0.6317 0.1317
Rh4 0.6661 0.0000 0.6661
Ho1 0.8114 0.7506 0.5619
Ho2 0.1886 0.7506 0.9392
Ho3 0.4470 0.2706 0.1765
Ho4 0.6956 0.3656 0.6700
Ho5 0.0941 0.2706 0.8235
Ho6 0.9059 0.7294 0.1765
Ho7 0.8114 0.2494 0.0608
Ho8 0.3044 0.6344 0.3300
Ho9 0.3044 0.9744 0.6700
Ho10 0.5530 0.7294 0.8235
Ho11 0.1886 0.2494 0.4381
Ho12 0.6956 0.0256 0.3300
Pt1 0.0000 0.0000 0.0000
Pt2 0.0000 0.5000 0.5000

Computed properties:
Its calculated formation energy is -0.729 eV/atom.

Compound: Ho2Pt4Rh
Source: Alexandria via LeMat-Bulk
Functional: PBE
Structure: relaxed

abc: 9.0478 5.4442 6.1577
angles: 116.24 90.00 90.00
Site moments in Bohr magnetons follow the coordinates.
Element x y z (fractional)
Pt1 0.2500 0.7502 0.0000  0.04
Pt2 0.7500 0.5005 0.5000  0.00
Pt3 0.7500 0.0005 0.5000  0.00
Pt4 0.2500 0.2502 0.0000  0.04
Pt5 0.2500 0.9995 0.5000  0.00
Pt6 0.2500 0.4995 0.5000  0.00
Pt7 0.7500 0.2498 0.0000  0.04
Pt8 0.7500 0.7498 0.0000  0.04
Rh1 0.0000 0.0000 0.0000  0.29
Rh2 0.5000 0.5000 0.0000  0.29
Ho1 0.5000 0.8548 0.7097  -0.01
Ho2 0.0000 0.3548 0.7097  -0.01
Ho3 0.0000 0.6452 0.2903  -0.01
Ho4 0.5000 0.1452 0.2903  -0.01

Computed properties:
Its calculated formation energy is -0.668 eV/atom.

Compound: Ho7Pt2Rh2
Source: Alexandria via LeMat-Bulk
Functional: PBE
Structure: relaxed

abc: 3.8878 9.0022 9.0022
angles: 61.75 77.53 77.53
Element x y z (fractional)
Ho1 0.5000 0.0025 0.9975
Ho2 0.1888 0.7061 0.9164
Ho3 0.8698 0.3946 0.8659
Ho4 0.3855 0.7198 0.5091
Ho5 0.6145 0.4909 0.2802
Ho6 0.8112 0.0836 0.2939
Ho7 0.1302 0.1341 0.6054
Rh1 0.2599 0.3375 0.1428
Rh2 0.7401 0.8572 0.6625
Pt1 0.5000 0.3487 0.6513
Pt2 0.0000 0.7787 0.2213

Computed properties:
The calculation puts the energy above the most stable polymorph in this dataset at 0 meV/atom. Its calculated formation energy is -0.852 eV/atom.

What did we get for electronic total energy? Answer: -7.77; -10.24; -9.42; -7.92; -7.77; -8.87; -8.94; -8.24; -8.16; -7.85; -6.38; -6.82; -5.74; -6.82; -6.61; -6.79; -6.75; -6.72; -6.28; -6.01; -6.09; -6.48; -6.20 eV per atom, in the order shown.